[1]
The following is a PBE calculation of crystalline Hf4ZnAs at its relaxed geometry, from Alexandria.

Summary:
- ΔH_f (0 K) (meV/atom) = -301
- V (Å³/cell) = 240
- excess energy over the best structure of this formula in the dataset (eV/atom) = 0.155
- density of states at the Fermi level (states/eV/f.u.) = 4.67

Cell: 7.9616 5.6224 7.0061 Å, 99.50 113.67 114.56°
Sites, in units of the cell vectors:
Hf: 0.9019 0.3482 0.1139
Hf: 0.7120 0.7658 0.1139
Hf: 0.3937 0.7838 0.6906
Hf: 0.6063 0.2162 0.3094
Hf: 0.2031 0.0932 0.3094
Hf: 0.2880 0.2342 0.8861
Hf: 0.7969 0.9068 0.6906
Hf: 0.0981 0.6518 0.8861
Zn: 0.3901 0.6401 0.2802
Zn: 0.6099 0.3599 0.7198
As: 0.9921 0.7421 0.4842
As: 0.0079 0.2579 0.5158

[2]
The following is a PBE calculation of crystalline Mg2Sc2Pt at its relaxed geometry, from Alexandria.

Summary:
- ΔH_f (0 K) (meV/atom) = -230
- V (Å³/cell) = 212
- density of states at the Fermi level (states/eV/f.u.) = 5.82

Cell: 6.7114 6.7114 4.7021 Å, 90.00 90.00 90.00°
Sites, in units of the cell vectors:
Sc: 0.1744 0.6744 0.5000
Sc: 0.6744 0.8256 0.5000
Sc: 0.8256 0.3256 0.5000
Sc: 0.3256 0.1744 0.5000
Mg: 0.3571 0.8571 0.0000
Mg: 0.8571 0.6429 0.0000
Mg: 0.6429 0.1429 0.0000
Mg: 0.1429 0.3571 0.0000
Pt: 0.0000 0.0000 0.0000
Pt: 0.5000 0.5000 0.0000

[3]
The following is a PBE calculation of crystalline BaCd2PbCl8 at its relaxed geometry, from Alexandria.

Summary:
- ΔE_f (raw) (eV per atom) = -1.36
- V (Å³/cell) = 387
- density of states at the Fermi level (states/eV/f.u.) = 0.00

Cell: 6.7557 6.7557 9.7904 Å, 90.00 90.00 120.00°
Sites, in units of the cell vectors:
Ba: 0.0000 0.0000 0.0000
Cd: 0.6667 0.3333 0.2386
Cd: 0.3333 0.6667 0.7614
Pb: 0.0000 0.0000 0.5000
Cl: 0.3333 0.6667 0.0127
Cl: 0.2963 0.3132 0.2924
Cl: 0.6868 0.9831 0.2924
Cl: 0.6667 0.3333 0.9873
Cl: 0.3132 0.0169 0.7076
Cl: 0.7037 0.6868 0.7076
Cl: 0.9831 0.2963 0.7076
Cl: 0.0169 0.7037 0.2924

[4]
The following is a PBE calculation of crystalline BaAcPtAu at its relaxed geometry, from Alexandria.

Summary:
- ΔH_f (0 K) (meV/atom) = -847
- V (Å³/cell) = 123
- excess energy over the best structure of this formula in the dataset (eV/atom) = 0.000
- density of states at the Fermi level (states/eV/f.u.) = 2.40

Cell: 4.2960 4.6879 6.4954 Å, 90.00 109.31 90.00°
Sites, in units of the cell vectors:
Ba: 0.1426 0.0000 0.2852
Ac: 0.8715 0.5000 0.7429
Pt: 0.4081 0.0000 0.8162
Au: 0.5779 0.5000 0.1557

[5]
The following is a PBE calculation of crystalline Pm6GaNi2Cl3 at its relaxed geometry, from Alexandria.

Summary:
- ΔE_f (raw) (eV per atom) = -0.93
- V (Å³/cell) = 311
- density of states at the Fermi level (states/eV/f.u.) = 8.18

Cell: 3.9744 8.7207 9.5641 Å, 106.20 101.99 90.00°
Sites, in units of the cell vectors:
Pm: 0.3362 0.8825 0.6725
Pm: 0.6764 0.5633 0.3527
Pm: 0.6638 0.1175 0.3275
Pm: 0.0099 0.2546 0.0199
Pm: 0.9901 0.7454 0.9801
Pm: 0.3236 0.4367 0.6473
Ga: 0.5000 0.0000 0.0000
Ni: 0.8329 0.6596 0.6659
Ni: 0.1671 0.3404 0.3341
Cl: 0.5000 0.5000 0.0000
Cl: 0.8367 0.1619 0.6735
Cl: 0.1633 0.8381 0.3265

[6]
The following is a PBE calculation of crystalline ZnPbCl2 at its relaxed geometry, from Alexandria.

Summary:
- ΔE_f (raw) (eV per atom) = -0.48
- V (Å³/cell) = 107
- excess energy over the best structure of this formula in the dataset (eV/atom) = 0.195
- density of states at the Fermi level (states/eV/f.u.) = 0.57

Cell: 5.6038 5.6038 5.6038 Å, 133.94 119.66 79.12°
Sites, in units of the cell vectors:
Pb: 0.7500 0.2500 0.5000
Zn: 0.2500 0.7500 0.5000
Cl: 0.9773 0.9773 0.0000
Cl: 0.5227 0.5227 0.0000

[7]
The following is a PBE calculation of crystalline ScCoBr2 at its relaxed geometry, from Alexandria.

Summary:
- ΔE_f (raw) (eV per atom) = -0.05
- V (Å³/cell) = 72
- excess energy over the best structure of this formula in the dataset (eV/atom) = 0.609
- density of states at the Fermi level (states/eV/f.u.) = 1.25

Cell: 4.6708 4.6708 4.6708 Å, 60.00 60.00 60.00°
Sites, in units of the cell vectors:
Sc: 0.0000 0.0000 0.0000
Co: 0.5000 0.5000 0.5000
Br: 0.2500 0.2500 0.2500
Br: 0.7500 0.7500 0.7500

[8]
The following is a PBE calculation of crystalline AuI2Br at its relaxed geometry, from Alexandria.

Summary:
- ΔE_f (raw) (eV per atom) = -0.03
- V (Å³/cell) = 374
- excess energy over the best structure of this formula in the dataset (eV/atom) = 0.000

Cell: 14.8999 14.8999 4.6662 Å, 88.31 88.31 158.52°
Sites, in units of the cell vectors:
Au: 0.5000 0.0000 0.0000
Au: 0.0000 0.5000 0.5000
I: 0.6876 0.8364 0.1581
I: 0.3124 0.1636 0.8419
I: 0.1636 0.3124 0.3419
I: 0.8364 0.6876 0.6581
Br: 0.3014 0.6986 0.7500
Br: 0.6986 0.3014 0.2500

[9]
The following is a PBE calculation of crystalline YCr2Mo at its relaxed geometry, from Alexandria.

Summary:
- ΔH_f (0 K) (meV/atom) = 504
- V (Å³/cell) = 71
- excess energy over the best structure of this formula in the dataset (eV/atom) = 0.149
- density of states at the Fermi level (states/eV/f.u.) = 4.91

Cell: 4.8773 4.8773 5.1648 Å, 72.50 72.50 37.44°
Sites, in units of the cell vectors:
Cr: 0.0412 0.0412 0.8962
Cr: 0.7418 0.7418 0.7572
Mo: 0.4635 0.4635 0.6010
Y: 0.2536 0.2536 0.2456

[10]
The following is a PBE calculation of crystalline Sr2DyGe3Pt4 at its relaxed geometry, from Alexandria.

Summary:
- ΔH_f (0 K) (meV/atom) = -880
- V (Å³/cell) = 215
- density of states at the Fermi level (states/eV/f.u.) = 4.40

Cell: 4.4278 4.4278 10.9840 Å, 90.00 90.00 90.00°
Sites, in units of the cell vectors:
Sr: 0.5000 0.0000 0.2310
Sr: 0.0000 0.5000 0.7690
Dy: 0.5000 0.5000 0.5000
Ge: 0.0000 0.0000 0.5000
Ge: 0.5000 0.0000 0.8825
Ge: 0.0000 0.5000 0.1175
Pt: 0.5000 0.5000 0.0000
Pt: 0.0000 0.0000 0.0000
Pt: 0.5000 0.0000 0.6553
Pt: 0.0000 0.5000 0.3447

[11]
The following is a PBE calculation of crystalline ErCuTe2 at its relaxed geometry, from Alexandria.

Summary:
- ΔE_f (raw) (eV per atom) = -0.86
- V (Å³/cell) = 113

Cell: 4.3439 4.3439 6.8920 Å, 90.00 90.00 60.00°
Sites, in units of the cell vectors:
Er: 0.0000 0.0000 0.9885
Cu: 0.6667 0.6667 0.3627
Te: 0.6667 0.6667 0.7452
Te: 0.3333 0.3333 0.2616

[12]
The following is a PBE calculation of crystalline Mg2CuBiO at its relaxed geometry, from Alexandria.

Summary:
- ΔE_f (raw) (eV per atom) = 0.63
- V (Å³/cell) = 140
- density of states at the Fermi level (states/eV/f.u.) = 0.04

Cell: 5.4098 4.7945 5.4098 Å, 90.00 90.00 90.00°
Sites, in units of the cell vectors:
O: 0.5000 0.5000 0.5000
Mg: 0.0000 0.0000 0.5000
Mg: 0.5000 0.0000 0.0000
Bi: 0.0000 0.0000 0.0000
Cu: 0.0000 0.5000 0.0000

| no. | total energy (eV per atom) |
| --- | --- |
| 1 | -7.92 |
| 2 | -4.61 |
| 3 | -3.21 |
| 4 | -4.68 |
| 5 | -4.98 |
| 6 | -2.64 |
| 7 | -4.25 |
| 8 | -2.04 |
| 9 | -8.63 |
| 10 | -5.48 |
| 11 | -4.60 |
| 12 | -2.60 |